# 1
SrPtOF2 | PBE | optimized geometry

The space group is P4/mmm (No. 123) and the conventional cell measures 4.5436, 4.5436 and 4.9118 Å, with angles of 90.00, 90.00 and 90.00 degrees. The distinct sites, in fractional coordinates, are Sr at (0.0000, 0.0000, 0.0000), Pt at (0.5000, 0.5000, 0.5000), O at (0.0000, 0.0000, 0.5000) and F at (0.0000, 0.5000, 0.0000).

The calculation puts the formation energy from raw total energies at -0.950 eV per atom. The calculation puts the energy relative to the lowest polymorph listed for this composition at 685 meV/atom. The density of states at the Fermi level is 0.731 states/eV per atom.

---

# 2
SrPtOF2 | PBE | optimized geometry

The space group is P4/mmm (No. 123) and the conventional cell measures 4.4281, 4.4281 and 4.1025 Å, with angles of 90.00, 90.00 and 90.00 degrees. The distinct sites, in fractional coordinates, are Sr at (0.0000, 0.0000, 0.0000), Pt at (0.5000, 0.5000, 0.5000), O at (0.5000, 0.5000, 0.0000) and F at (0.0000, 0.5000, 0.5000).

The calculation puts the formation energy from raw total energies at -1.635 eV per atom. The calculation puts the energy relative to the lowest polymorph listed for this composition at 0 meV/atom. The density of states at the Fermi level is 0.415 states/eV per atom.

---

# 3
TaPtOF2 | PBE | optimized geometry

The space group is P4/mmm (No. 123) and the conventional cell measures 4.1707, 4.1707 and 3.9231 Å, with angles of 90.00, 90.00 and 90.00 degrees. The distinct sites, in fractional coordinates, are Ta at (0.0000, 0.0000, 0.0000), Pt at (0.5000, 0.5000, 0.5000), O at (0.0000, 0.0000, 0.5000) and F at (0.0000, 0.5000, 0.0000).

The calculation puts the formation energy from raw total energies at -1.250 eV per atom. The calculation puts the energy relative to the lowest polymorph listed for this composition at 0 meV/atom. The density of states at the Fermi level is 0.585 states/eV per atom.